Entry 1:
Here is an optimized crystal structure of Pm5Dy2Ho4 from Alexandria. Energies are from PBE.

Calculated values
M_tot, μB/f.u.: 0.00
Calculated formation energy, meV per atom: 73
Total DFT energy (no corrections), eV/atom: -4.587

a = 3.544 Å, b = 11.601 Å, c = 8.988 Å
α = 93.95°, β = 101.37°, γ = 90.00°
Fractional positions:
Pm1 0.904 0.465 0.807
Pm2 0.096 0.535 0.193
Pm3 0.823 0.930 0.647
Pm4 0.500 0.000 0.000
Pm5 0.177 0.070 0.353
Dy1 0.716 0.352 0.432
Dy2 0.284 0.648 0.568
Ho1 0.359 0.205 0.719
Ho2 0.965 0.741 0.930
Ho3 0.641 0.795 0.281
Ho4 0.035 0.259 0.070

=====

Entry 2:
Here is an optimized crystal structure of Pm3DyHo2 from Alexandria. Energies are from PBE.

Calculated values
M_tot, μB/f.u.: 0.00
Calculated formation energy, meV per atom: 4
Total DFT energy (no corrections), eV/atom: -4.665

a = 7.230 Å, b = 10.274 Å, c = 7.239 Å
α = 80.02°, β = 119.92°, γ = 121.71°
Fractional positions:
Pm1 0.254 0.003 0.751
Pm2 0.746 0.997 0.249
Pm3 0.806 0.667 0.861
Pm4 0.195 0.335 0.639
Pm5 0.805 0.665 0.361
Pm6 0.194 0.333 0.139
Dy1 0.253 0.002 0.251
Dy2 0.747 0.998 0.749
Ho1 0.304 0.668 0.361
Ho2 0.304 0.666 0.860
Ho3 0.696 0.334 0.140
Ho4 0.696 0.332 0.639

=====

Entry 3:
Here is an optimized crystal structure of Pm4Dy3Ho4 from Alexandria. Energies are from PBE.

Calculated values
M_tot, μB/f.u.: 0.00
Calculated formation energy, meV per atom: 62
Total DFT energy (no corrections), eV/atom: -4.585

a = 3.519 Å, b = 5.651 Å, c = 18.140 Å
α = 81.05°, β = 84.43°, γ = 89.99°
Fractional positions:
Pm1 0.590 0.090 0.819
Pm2 0.268 0.268 0.465
Pm3 0.732 0.733 0.535
Pm4 0.410 0.910 0.181
Dy1 0.136 0.636 0.729
Dy2 0.864 0.364 0.271
Dy3 0.000 0.000 0.000
Ho1 0.546 0.546 0.909
Ho2 0.454 0.454 0.091
Ho3 0.319 0.820 0.361
Ho4 0.681 0.180 0.639

=====

Entry 4:
Here is an optimized crystal structure of Pm2Dy3Ho from Alexandria. Energies are from PBE.

Calculated values
M_tot, μB/f.u.: 0.00
Calculated formation energy, meV per atom: 53
Total DFT energy (no corrections), eV/atom: -4.595

a = 3.560 Å, b = 11.817 Å, c = 13.728 Å
α = 43.55°, β = 82.55°, γ = 81.34°
Fractional positions:
Pm1 0.824 0.637 0.716
Pm2 0.176 0.363 0.284
Pm3 0.577 0.295 0.551
Pm4 0.423 0.705 0.449
Dy1 0.068 0.984 0.880
Dy2 0.932 0.016 0.120
Dy3 0.689 0.665 0.957
Dy4 0.311 0.335 0.043
Dy5 0.800 0.034 0.366
Dy6 0.200 0.966 0.634
Ho1 0.446 0.303 0.805
Ho2 0.554 0.697 0.195

=====

Entry 5:
Here is an optimized crystal structure of PmDyHo2 from Alexandria. Energies are from PBE.

Calculated values
M_tot, μB/f.u.: 0.00
Calculated formation energy, meV per atom: 21
Total DFT energy (no corrections), eV/atom: -4.606

a = 5.025 Å, b = 5.037 Å, c = 5.037 Å
α = 90.00°, β = 90.00°, γ = 90.00°
Fractional positions:
Pm1 0.500 0.000 0.000
Ho1 0.000 0.000 0.500
Ho2 0.000 0.500 0.000
Dy1 0.500 0.500 0.500

=====

Entry 6:
Here is an optimized crystal structure of Pm2Dy3Ho6 from Alexandria. Energies are from PBE.

Calculated values
M_tot, μB/f.u.: 0.00
Calculated formation energy, meV per atom: 186
Total DFT energy (no corrections), eV/atom: -4.430

a = 6.093 Å, b = 6.100 Å, c = 11.654 Å
α = 84.95°, β = 79.85°, γ = 60.04°
Fractional positions:
Pm1 0.167 0.667 0.500
Pm2 0.833 0.333 0.500
Dy1 0.000 0.000 0.000
Dy2 0.335 0.330 0.000
Dy3 0.665 0.670 0.000
Ho1 0.416 0.666 0.752
Ho2 0.750 0.000 0.752
Ho3 0.082 0.334 0.752
Ho4 0.250 0.000 0.248
Ho5 0.584 0.334 0.248
Ho6 0.918 0.666 0.248